Record 1
The following is a DFT calculation (PBE) of a geometry-optimized TaBeB3 structure.

## Properties
**DOS(E_F)**: 2.075 states/eV/f.u.
**Calculated formation energy**: 9.20 eV/f.u.
**Magnetization**: 0.0 μB per formula unit
**Energy above the most stable polymorph in this dataset**: 2232 meV per atom

Cell lengths 4.228, 4.228, 4.228 Å; angles 90.00, 90.00, 90.00 degrees
Space group Pm-3m (No. 221)
Inequivalent atoms, fractional coordinates:
Ta: 0.000 0.000 0.000 [1 per cell]
Be: 0.500 0.500 0.500 [1 per cell]
B: 0.000 0.000 0.500 [3 per cell]

---

Record 2
The following is a DFT calculation (PBE) of a geometry-optimized Ta4BeB structure.

## Properties
**DOS(E_F)**: 2.328 states/eV/f.u.
**Calculated formation energy**: -2.20 eV/f.u.
**Magnetization**: 0.0 μB per formula unit

Cell lengths 5.934, 5.934, 4.895 Å; angles 90.00, 90.00, 90.00 degrees
Space group P4/mcc (No. 124)
Inequivalent atoms, fractional coordinates:
Ta: 0.155 0.328 0.000 [8 per cell]
Be: 0.500 0.500 0.250 [2 per cell]
B: 0.000 0.000 0.250 [2 per cell]

---

Record 3
The following is a DFT calculation (PBE) of a geometry-optimized Ta4Be2B structure.

## Properties
**DOS(E_F)**: 3.668 states/eV/f.u.
**Calculated formation energy**: 2.92 eV/f.u.
**Magnetization**: 0.0 μB per formula unit

Cell lengths 4.431, 4.431, 10.960 Å; angles 90.00, 90.00, 90.00 degrees
Space group I4/mmm (No. 139)
Inequivalent atoms, fractional coordinates:
Ta: 0.000 0.000 0.194 [4 per cell]
Ta: 0.000 0.500 0.000 [4 per cell]
Be: 0.000 0.000 0.408 [4 per cell]
B: 0.000 0.000 0.000 [2 per cell]

---

Record 4
The following is a DFT calculation (PBE) of a geometry-optimized Ta2Be3B2 structure.

## Properties
**DOS(E_F)**: 1.346 states/eV/f.u.
**Calculated formation energy**: -2.99 eV/f.u.
**Magnetization**: 0.0 μB per formula unit
**Energy above the most stable polymorph in this dataset**: 0 meV per atom

Cell lengths 8.403, 3.254, 5.317 Å; angles 90.00, 101.05, 90.00 degrees
Space group C2/m (No. 12)
Inequivalent atoms, fractional coordinates:
Ta: 0.126 0.000 0.345 [4 per cell]
Be: 0.000 0.500 0.000 [2 per cell]
Be: 0.183 0.000 0.856 [4 per cell]
B: 0.079 0.500 0.647 [4 per cell]

---

Record 5
The following is a DFT calculation (PBE) of a geometry-optimized TaBe3B structure.

## Properties
**DOS(E_F)**: 6.096 states/eV/f.u.
**Calculated formation energy**: 12.90 eV/f.u.
**Magnetization**: 0.0 μB per formula unit
**Energy above the most stable polymorph in this dataset**: 2927 meV per atom

Cell lengths 4.533, 4.533, 4.533 Å; angles 90.00, 90.00, 90.00 degrees
Space group Pm-3m (No. 221)
Inequivalent atoms, fractional coordinates:
Ta: 0.000 0.000 0.000 [1 per cell]
Be: 0.000 0.000 0.500 [3 per cell]
B: 0.500 0.500 0.500 [1 per cell]

---

Record 6
The following is a DFT calculation (PBE) of a geometry-optimized Ta2BeB structure.

## Properties
**DOS(E_F)**: 1.177 states/eV/f.u.
**Calculated formation energy**: -0.95 eV/f.u.
**Magnetization**: 0.0 μB per formula unit
**Energy above the most stable polymorph in this dataset**: 346 meV per atom

Cell lengths 3.2420, 3.2420, 17.2142 Å; angles 90.00, 90.00, 120.00 degrees
Space group R-3m (No. 166, hexagonal axes)
Inequivalent atoms, fractional coordinates:
Ta: 0.0000 0.0000 0.2423 [6 per cell]
Be: 0.0000 0.0000 0.0000 [3 per cell]
B: 0.0000 0.0000 0.5000 [3 per cell]

---

Record 7
The following is a DFT calculation (PBE) of a geometry-optimized Ta4BeB3 structure.

## Properties
**DOS(E_F)**: 2.013 states/eV/f.u.
**Calculated formation energy**: -5.68 eV/f.u.
**Magnetization**: 0.0 μB per formula unit

Cell lengths 3.211, 3.311, 8.838 Å; angles 90.00, 90.00, 90.00 degrees
Space group Pmm2 (No. 25)
Inequivalent atoms, fractional coordinates:
Ta: 0.000 0.000 0.000 [1 per cell]
Ta: 0.000 0.500 0.494 [1 per cell]
Ta: 0.500 0.000 0.703 [1 per cell]
Ta: 0.500 0.500 0.206 [1 per cell]
Be: 0.000 0.500 0.791 [1 per cell]
B: 0.000 0.000 0.290 [1 per cell]
B: 0.500 0.000 0.410 [1 per cell]
B: 0.500 0.500 0.917 [1 per cell]

---

Record 8
The following is a DFT calculation (PBE) of a geometry-optimized Ta3Be3B structure.

## Properties
**DOS(E_F)**: 3.489 states/eV/f.u.
**Calculated formation energy**: -2.87 eV/f.u.
**Magnetization**: 0.0 μB per formula unit

Cell lengths 3.319, 3.349, 14.874 Å; angles 90.00, 90.00, 90.00 degrees
Space group Imm2 (No. 44)
Inequivalent atoms, fractional coordinates:
Ta: 0.000 0.000 0.000 [2 per cell]
Ta: 0.000 0.000 0.374 [2 per cell]
Ta: 0.000 0.500 0.682 [2 per cell]
Be: 0.000 0.000 0.552 [2 per cell]
Be: 0.000 0.000 0.822 [2 per cell]
Be: 0.000 0.500 0.246 [2 per cell]
B: 0.000 0.500 0.119 [2 per cell]

---

Record 9
The following is a DFT calculation (PBE) of a geometry-optimized Ta2BeB structure.

## Properties
**DOS(E_F)**: 2.252 states/eV/f.u.
**Calculated formation energy**: 0.69 eV/f.u.
**Magnetization**: 0.0 μB per formula unit
**Energy above the most stable polymorph in this dataset**: 757 meV per atom

Cell lengths 6.302, 6.302, 5.427 Å; angles 90.00, 90.00, 90.00 degrees
Space group I-42d (No. 122)
Inequivalent atoms, fractional coordinates:
Ta: 0.232 0.750 0.125 [8 per cell]
Be: 0.000 0.000 0.500 [4 per cell]
B: 0.000 0.000 0.000 [4 per cell]

---

Record 10
The following is a DFT calculation (PBE) of a geometry-optimized Ta3Be2B4 structure.

## Properties
**DOS(E_F)**: 2.120 states/eV/f.u.
**Calculated formation energy**: -6.25 eV/f.u.
**Magnetization**: 0.0 μB per formula unit

Cell lengths 8.593, 3.202, 6.450 Å; angles 90.00, 99.98, 90.00 degrees
Space group C2/m (No. 12)
Inequivalent atoms, fractional coordinates:
Ta: 0.000 0.000 0.000 [2 per cell]
Ta: 0.166 0.500 0.669 [4 per cell]
Be: 0.111 0.500 0.277 [4 per cell]
B: 0.053 0.000 0.394 [4 per cell]
B: 0.224 0.500 0.050 [4 per cell]

---

Record 11
The following is a DFT calculation (PBE) of a geometry-optimized TaBe3B structure.

## Properties
**DOS(E_F)**: 1.752 states/eV/f.u.
**Calculated formation energy**: 1.93 eV/f.u.
**Magnetization**: 0.0 μB per formula unit
**Energy above the most stable polymorph in this dataset**: 732 meV per atom

Cell lengths 3.677, 3.677, 3.677 Å; angles 90.00, 90.00, 90.00 degrees
Space group Pm-3m (No. 221)
Inequivalent atoms, fractional coordinates:
Ta: 0.000 0.000 0.000 [1 per cell]
Be: 0.000 0.500 0.500 [3 per cell]
B: 0.500 0.500 0.500 [1 per cell]

---

Record 12
The following is a DFT calculation (PBE) of a geometry-optimized TaBeB4 structure.

## Properties
**DOS(E_F)**: 1.105 states/eV/f.u.
**Calculated formation energy**: -1.34 eV/f.u.
**Magnetization**: 0.0 μB per formula unit

Cell lengths 5.668, 10.935, 3.152 Å; angles 90.00, 90.00, 90.00 degrees
Space group Pbam (No. 55)
Inequivalent atoms, fractional coordinates:
Ta: 0.130 0.147 0.000 [4 per cell]
Be: 0.129 0.412 0.000 [4 per cell]
B: 0.023 0.695 0.500 [4 per cell]
B: 0.115 0.549 0.500 [4 per cell]
B: 0.133 0.968 0.500 [4 per cell]
B: 0.213 0.814 0.500 [4 per cell]